{"formula": "CePd3Au2", "functional": "PBE-GGA", "state": "relaxed", "energy_ev_per_atom": -5.197, "delta_e_f_kj_per_mol_atoms": -50, "dos_ef_per_ev_atom": 0.858, "lattice_angstrom": [[8.7562, 2.9954, 2.3344], [5.6651, 7.3179, 2.3344], [5.6651, 4.0514, 6.5259]], "species": ["Pd", "Pd", "Pd", "Pd", "Pd", "Pd", "Au", "Au", "Au", "Au", "Ce", "Ce"], "fractional_positions": [[0.5688, 0.9312, 0.2500], [0.2500, 0.5688, 0.9312], [0.7500, 0.4312, 0.0688], [0.9312, 0.2500, 0.5688], [0.0688, 0.7500, 0.4312], [0.4312, 0.0688, 0.7500], [0.8362, 0.8362, 0.8362], [0.6638, 0.6638, 0.6638], [0.3362, 0.3362, 0.3362], [0.1638, 0.1638, 0.1638], [0.5000, 0.5000, 0.5000], [0.0000, 0.0000, 0.0000]]}